No. 1
Computed, not measured: a relaxed structure of MnGePCN at the PBE level of DFT.

```
MnGePCN
1.0
-0.719 -3.377 1.282
0.606 0.365 -3.371
6.577 -0.167 1.152
P Ge Mn C N
1 1 1 1 1
Direct
0.569 0.682 0.939
0.872 0.335 0.765
0.830 0.312 0.373
0.675 0.734 0.213
0.415 0.607 0.352
```

Output
* formation energy from raw total energies: 285 meV per atom
* polymorph energy (0 for the lowest one): 192 meV/atom

***

No. 2
Computed, not measured: a relaxed structure of Sm4SnHg3 at the PBE level of DFT.

```
Sm4SnHg3
1.0
5.156 0.000 1.522
2.353 4.587 1.522
0.042 0.026 9.350
Sn Sm Hg
1 4 3
Direct
0.000 0.000 0.000
0.875 0.875 0.374
0.375 0.375 0.875
0.125 0.125 0.626
0.625 0.625 0.125
0.246 0.246 0.263
0.754 0.754 0.737
0.500 0.500 0.500
```

Output
* final energy: -3.510 eV/atom

***

No. 3
Computed, not measured: a relaxed structure of NaWS2 at the PBE level of DFT.

```
NaWS2
1.0
1.900 0.000 8.679
-0.950 1.645 8.679
-0.950 -1.645 8.679
Na S W
1 2 1
Direct
0.000 0.000 0.000
0.893 0.893 0.893
0.107 0.107 0.107
0.500 0.500 0.500
```

Output
* formation energy from raw total energies: -450 meV per atom
* polymorph energy (0 for the lowest one): 0 meV/atom

***

No. 4
Computed, not measured: a relaxed structure of BeIn2P at the PBE level of DFT.

```
BeIn2P
1.0
4.303 -0.054 0.021
2.846 3.228 0.021
2.243 0.996 6.246
P Be In
1 1 2
Direct
0.606 0.606 0.449
0.152 0.152 0.280
0.935 0.935 0.071
0.807 0.807 0.700
```

Output
* polymorph energy (0 for the lowest one): 6 meV/atom

***

No. 5
Computed, not measured: a relaxed structure of PuPCl at the PBE level of DFT.

```
PuPCl
1.0
-1.603 -4.291 3.148
3.314 0.993 -1.866
3.384 5.158 8.752
P Pu Cl
2 2 2
Direct
0.500 0.001 0.750
0.500 0.999 0.250
0.000 0.999 0.250
0.000 0.001 0.750
0.000 0.000 0.000
0.000 0.000 0.500
```

Output
* formation energy from raw total energies: -979 meV per atom
* polymorph energy (0 for the lowest one): 293 meV/atom

***

No. 6
Computed, not measured: a relaxed structure of Rb2Th2Te6Pb at the PBE level of DFT.

```
Rb2Th2Te6Pb
1.0
-5.806 -2.104 -5.126
3.648 -5.556 4.498
-5.261 3.622 6.467
Rb Th Te Pb
2 2 6 1
Direct
0.838 0.162 0.000
0.162 0.838 0.000
0.334 0.666 0.500
0.666 0.334 0.500
0.715 0.715 0.703
0.064 0.412 0.702
0.285 0.285 0.297
0.412 0.064 0.702
0.936 0.588 0.298
0.588 0.936 0.298
0.000 0.000 0.500
```

Output
* formation energy from raw total energies: -1099 meV per atom

***

No. 7
Computed, not measured: a relaxed structure of Br3Cl at the PBE level of DFT.

```
Br3Cl
1.0
9.003 0.004 0.004
7.242 5.349 -0.004
-8.125 -2.670 2.814
Br Cl
3 1
Direct
0.250 0.250 0.000
0.750 0.750 0.000
0.000 0.500 0.500
0.500 0.000 0.500
```

Output
* formation energy from raw total energies: 251 meV per atom

***

No. 8
Computed, not measured: a relaxed structure of KCr2Cu at the PBE level of DFT.

```
KCr2Cu
1.0
-0.968 -2.664 4.736
3.500 -3.986 -1.526
7.733 0.932 5.321
Cr K Cu
4 2 2
Direct
0.893 0.125 0.250
0.857 0.625 0.250
0.375 0.107 0.750
0.875 0.143 0.750
0.500 0.500 0.000
0.250 0.750 0.500
0.000 0.000 0.000
0.750 0.250 0.500
```

Output
* polymorph energy (0 for the lowest one): 609 meV/atom

***

No. 9
Computed, not measured: a relaxed structure of Li2As at the PBE level of DFT.

```
Li2As
1.0
4.427 0.000 0.000
0.000 4.427 0.000
0.000 0.000 2.949
As Li
1 2
Direct
0.000 0.000 0.000
0.000 0.500 0.500
0.500 0.000 0.500
```

Output
* polymorph energy (0 for the lowest one): 107 meV/atom

***

No. 10
Computed, not measured: a relaxed structure of Sc3ZnAu2 at the PBE level of DFT.

```
Sc3ZnAu2
1.0
4.788 0.000 0.000
-2.394 4.147 0.000
0.000 0.000 11.784
Sc Zn Au
6 2 4
Direct
0.333 0.667 0.420
0.667 0.333 0.082
0.000 0.000 0.751
0.000 0.000 0.249
0.333 0.667 0.918
0.667 0.333 0.580
0.333 0.667 0.671
0.667 0.333 0.329
0.000 0.000 0.500
0.333 0.667 0.183
0.667 0.333 0.817
0.000 0.000 0.000
```

Output
* final energy: -5.136 eV/atom

***

No. 11
Computed, not measured: a relaxed structure of Cr2Ga2W at the PBE level of DFT.

```
Cr2Ga2W
1.0
-3.386 -1.974 -5.976
-5.267 -2.825 3.918
-1.325 2.408 -0.045
Cr Ga W
4 4 2
Direct
0.394 0.894 0.000
0.894 0.606 0.000
0.606 0.106 0.000
0.106 0.394 0.000
0.188 0.688 0.500
0.688 0.812 0.500
0.812 0.312 0.500
0.312 0.188 0.500
0.000 0.000 0.000
0.500 0.500 0.000
```

Output
* polymorph energy (0 for the lowest one): 167 meV/atom

***

No. 12
Computed, not measured: a relaxed structure of LaPm2YTm5 at the PBE level of DFT.

```
LaPm2YTm5
1.0
8.734 0.000 0.000
0.000 8.734 0.000
-4.367 -4.367 7.653
La Pm Y Tm
2 4 2 10
Direct
0.250 0.250 0.500
0.750 0.750 0.500
0.116 0.384 0.000
0.616 0.116 0.000
0.384 0.884 0.000
0.884 0.616 0.000
0.250 0.750 0.500
0.750 0.250 0.500
0.926 0.426 0.271
0.655 0.155 0.729
0.074 0.574 0.729
0.155 0.074 0.729
0.574 0.655 0.729
0.845 0.926 0.271
0.426 0.345 0.271
0.345 0.845 0.271
0.500 0.500 0.000
0.000 0.000 0.000
```

Output
* final energy: -4.548 eV/atom

***

No. 13
Computed, not measured: a relaxed structure of Tb6NdSc at the PBE level of DFT.

```
Tb6NdSc
1.0
5.020 0.000 0.000
0.000 5.020 0.000
0.000 0.000 9.968
Tb Nd Sc
6 1 1
Direct
0.500 0.500 0.000
0.500 0.500 0.500
0.500 0.000 0.257
0.500 0.000 0.743
0.000 0.500 0.257
0.000 0.500 0.743
0.000 0.000 0.000
0.000 0.000 0.500
```

Output
* polymorph energy (0 for the lowest one): 0 meV/atom

***

No. 14
Computed, not measured: a relaxed structure of Li4YRh at the PBE level of DFT.

```
Li4YRh
1.0
-1.604 2.502 4.275
0.052 5.204 0.144
-4.481 2.651 -0.062
Li Y Rh
4 1 1
Direct
0.865 0.378 0.378
0.378 0.378 0.865
0.378 0.865 0.378
0.378 0.378 0.378
0.000 0.000 0.000
0.750 0.750 0.750
```

Output
* final energy: -3.605 eV/atom

***

No. 15
Computed, not measured: a relaxed structure of FeAgI6 at the PBE level of DFT.

```
FeAgI6
1.0
-2.547 -3.270 -5.718
-6.316 -6.014 1.168
-7.877 0.312 -1.951
Fe Ag I
1 1 6
Direct
0.000 0.000 0.000
0.500 0.500 0.500
0.050 0.372 0.800
0.751 0.134 0.730
0.631 0.144 0.271
0.249 0.866 0.270
0.950 0.628 0.200
0.369 0.856 0.729
```

Output
* formation energy from raw total energies: -19 meV per atom
* polymorph energy (0 for the lowest one): 0 meV/atom

***

No. 16
Computed, not measured: a relaxed structure of Sn2Pd3Pt2 at the PBE level of DFT.

```
Sn2Pd3Pt2
1.0
-0.651 1.063 3.955
-0.739 -4.719 -1.027
6.615 0.149 1.049
Sn Pd Pt
2 3 2
Direct
0.800 0.599 0.818
0.200 0.401 0.182
0.500 0.000 0.000
0.632 0.263 0.429
0.368 0.737 0.571
0.905 0.810 0.252
0.095 0.190 0.748
```

Output
* polymorph energy (0 for the lowest one): 0 meV/atom

***

No. 17
Computed, not measured: a relaxed structure of NiRu2Rh6 at the PBE level of DFT.

```
NiRu2Rh6
1.0
-4.320 1.160 1.202
-1.916 -1.796 3.897
1.435 4.309 5.524
Ni Ru Rh
1 2 6
Direct
0.000 0.000 0.500
0.500 0.829 0.842
0.500 0.171 0.158
0.160 0.838 0.171
0.840 0.491 0.171
0.840 0.162 0.829
0.160 0.509 0.829
0.347 0.313 0.500
0.653 0.687 0.500
```

Output
* polymorph energy (0 for the lowest one): 164 meV/atom

***

No. 18
Computed, not measured: a relaxed structure of ScCoCuAu2 at the PBE level of DFT.

```
ScCoCuAu2
1.0
-0.521 -3.990 -2.499
3.703 -1.785 2.078
-2.768 -1.774 3.410
Sc Co Au Cu
1 1 2 1
Direct
0.000 0.500 0.000
0.500 0.500 0.500
0.000 0.000 0.500
0.500 0.000 0.000
0.000 0.000 0.000
```

Output
* final energy: -4.169 eV/atom

***

No. 19
Computed, not measured: a relaxed structure of Sb2MoW at the PBE level of DFT.

```
Sb2MoW
1.0
8.787 -0.024 -0.014
8.216 3.118 -0.014
8.216 1.495 2.736
Mo Sb W
1 2 1
Direct
0.750 0.750 0.750
0.001 0.001 0.001
0.499 0.499 0.499
0.250 0.250 0.250
```

Output
* formation energy from raw total energies: 585 meV per atom
* polymorph energy (0 for the lowest one): 415 meV/atom

***

No. 20
Computed, not measured: a relaxed structure of VCu3Pd6 at the PBE level of DFT.

```
VCu3Pd6
1.0
-4.419 -4.451 -2.275
3.523 -0.322 -5.657
3.689 -4.806 2.795
V Cu Pd
2 6 12
Direct
0.000 0.000 0.000
0.500 0.500 0.500
0.259 0.882 0.752
0.882 0.752 0.259
0.248 0.741 0.118
0.752 0.259 0.882
0.118 0.248 0.741
0.741 0.118 0.248
0.370 0.143 0.045
0.857 0.955 0.630
0.514 0.838 0.385
0.955 0.630 0.857
0.385 0.514 0.838
0.162 0.615 0.486
0.838 0.385 0.514
0.615 0.486 0.162
0.045 0.370 0.143
0.486 0.162 0.615
0.143 0.045 0.370
0.630 0.857 0.955
```

Output
* polymorph energy (0 for the lowest one): 99 meV/atom

***

Fermi-level density of states values, unit states/eV/f.u., following the record order: 0.44; 8.34; 1.65; 0.76; 9.14; 0.00; 1.41; 4.43; 1.64; 4.84; 4.28; 10.30; 12.80; 6.14; 4.23; 2.95; 11.10; 5.01; 3.88; 5.66.
Total magnetization values, unit μB/atom, following the record order: 0.60; 0.18; 0.00; 0.00; 1.33; 0.00; 0.00; 2.43; 0.00; 0.00; 0.00; 0.00; 0.00; 0.00; 0.56; 0.00; 0.00; 0.36; 0.00; 0.00.